1.
This record from the Alexandria database describes a relaxed Cd3Bi4Pb4 crystal. The functional is PBE.

a = 11.9573 Å, b = 11.9573 Å, c = 11.9573 Å
α = 163.33°, β = 136.11°, γ = 47.26°
Fractional positions:
1 Cd 0.0000 0.0000 0.0000
2 Cd 0.3964 0.8964 0.5000
3 Cd 0.6036 0.1036 0.5000
4 Bi 0.2663 0.2663 0.0000
5 Bi 0.2929 0.5000 0.7929
6 Bi 0.7071 0.5000 0.2071
7 Bi 0.7337 0.7337 0.0000
8 Pb 0.0451 0.3514 0.6937
9 Pb 0.3423 0.6486 0.6937
10 Pb 0.6577 0.3514 0.3063
11 Pb 0.9549 0.6486 0.3063

Results
- ΔE_f (eV per atom) = 0.069

2.
This record from the Alexandria database describes a relaxed TaGaNi3 crystal. The functional is PBE.

a = 6.8186 Å, b = 6.8186 Å, c = 6.8186 Å
α = 152.06°, β = 152.06°, γ = 39.93°
Fractional positions:
1 Ta 0.0000 0.0000 0.0000
2 Ga 0.3612 0.3612 0.0000
3 Ni 0.1504 0.6504 0.5000
4 Ni 0.6504 0.1504 0.5000
5 Ni 0.7934 0.7934 0.0000

Results
- energy above the most stable polymorph in this dataset (meV/atom) = 110.5
- ΔE_f (eV per atom) = 0.027

3.
This record from the Alexandria database describes a relaxed Cs2PtCl6F crystal. The functional is PBE.

a = 7.5009 Å, b = 7.5009 Å, c = 7.5009 Å
α = 122.15°, β = 122.15°, γ = 86.32°
Fractional positions:
1 Cs 0.2500 0.7500 0.5000
2 Cs 0.7500 0.2500 0.5000
3 Pt 0.0000 0.0000 0.0000
4 Cl 0.2148 0.2148 0.0000
5 Cl 0.2299 0.2299 0.4597
6 Cl 0.2299 0.7701 0.0000
7 Cl 0.7701 0.2299 0.0000
8 Cl 0.7701 0.7701 0.5403
9 Cl 0.7852 0.7852 0.0000
10 F 0.5000 0.5000 0.0000

Results
- ΔE_f (raw) (kJ/mol of atoms) = -106.11

4.
This record from the Alexandria database describes a relaxed Ac4GeAu3 crystal. The functional is PBE.

a = 4.3273 Å, b = 4.8510 Å, c = 11.8194 Å
α = 90.00°, β = 90.00°, γ = 90.00°
Fractional positions:
1 Ac 0.0000 0.0000 0.0000
2 Ac 0.0000 0.5000 0.2672
3 Ac 0.5000 0.0000 0.4910
4 Ac 0.5000 0.5000 0.7664
5 Ge 0.5000 0.0000 0.2184
6 Au 0.0000 0.0000 0.7197
7 Au 0.0000 0.5000 0.5488
8 Au 0.5000 0.5000 0.0447

Results
- ΔE_f (eV per atom) = -0.777

In the order shown, the computed volume values come out to 30.85 13.89 28.81 31.01 Å³/atom.